Record 1
Sm4Tm5Th3: optimized geometry, PBE.

Geometry as CIF:
```
data_Sm4Tm5Th3
_chemical_formula_sum 'Sm8 Tm10 Th6'
_cell_length_a 15.865
_cell_length_b 5.986
_cell_length_c 9.412
_cell_angle_alpha 90.00
_cell_angle_beta 116.47
_cell_angle_gamma 90.00
_symmetry_space_group_name_H-M 'C 1 2/m 1'
_symmetry_Int_Tables_number 12
loop_
_symmetry_equiv_pos_as_xyz
'x,y,z'
'-x,-y,-z'
'-x,y,-z'
'x,-y,z'
'x+1/2,y+1/2,z'
'-x+1/2,-y+1/2,-z'
'-x+1/2,y+1/2,-z'
'x+1/2,-y+1/2,z'
loop_
_atom_site_label
_atom_site_fract_x
_atom_site_fract_y
_atom_site_fract_z
Sm1 0.086 0.000 0.449
Sm2 0.211 0.000 0.882
Tm1 0.000 0.000 0.000
Tm2 0.072 0.500 0.699
Tm3 0.170 0.500 0.380
Th1 0.000 0.500 0.000
Th2 0.210 0.000 0.240
```

Record 2
Nd4Ga2Hg: optimized geometry, PBE.

Geometry as CIF:
```
data_Nd4Ga2Hg
_chemical_formula_sum 'Nd12 Ga6 Hg3'
_cell_length_a 5.1802
_cell_length_b 5.1802
_cell_length_c 27.3618
_cell_angle_alpha 90.00
_cell_angle_beta 90.00
_cell_angle_gamma 120.00
_symmetry_space_group_name_H-M 'R -3 m'
_symmetry_Int_Tables_number 166
_symmetry_space_group_name_Hall '-R 3 2"'
loop_
_atom_site_label
_atom_site_fract_x
_atom_site_fract_y
_atom_site_fract_z
Nd1 0.0000 0.0000 0.1197
Nd2 0.0000 0.0000 0.2936
Ga1 0.0000 0.0000 0.4034
Hg1 0.0000 0.0000 0.5000
```

Excess energy over the best structure of this formula in the dataset = 0.819 eV/f.u.

| no. | total moment (μB per atom) | calculated formation energy (eV/atom) | volume (Å³ per atom) |
| --- | --- | --- | --- |
| 1 | 0.00 | 0.303 | 33.34 |
| 2 | 0.00 | -0.282 | 30.28 |